# 1
! BeInCo2 | Alexandria | PBE | optimized geometry; values from VASP
! * total magnetic moment: 2.669 μB per cell
! * energy of formation: 0.4718 eV/atom
&SYSTEM
  ibrav = 0, nat = 4, ntyp = 3
/
ATOMIC_SPECIES
Be 9.01 Be.upf
In 114.82 In.upf
Co 58.93 Co.upf
ATOMIC_POSITIONS angstrom
Be 0.0000 0.0000 0.0000
In 0.0000 0.0000 5.7339
Co 0.0000 0.0000 11.4773
Co 0.0000 0.0000 17.7018
CELL_PARAMETERS angstrom
1.3976 0.8069 8.0247
-1.3976 0.8069 8.0247
0.0000 -1.6138 8.0247

# 2
! LiSm2PaS5 | Alexandria | PBE | optimized geometry; values from VASP
! * total magnetic moment: 2.237 μB per cell
! * ΔE_f (raw): -1746 meV per atom
&SYSTEM
  ibrav = 0, nat = 18, ntyp = 4
/
ATOMIC_SPECIES
Li 6.94 Li.upf
Sm 150.36 Sm.upf
Pa 231.04 Pa.upf
S 32.06 S.upf
ATOMIC_POSITIONS angstrom
Li 1.9511 7.9971 5.9962
Li 1.9511 -7.9971 0.0000
Sm 1.9511 2.0870 3.8839
Sm 1.9511 1.7970 8.5920
Sm 1.9511 -1.7970 2.5958
Sm 1.9511 -2.0870 9.8802
Pa 1.9511 3.2870 0.3813
Pa 1.9511 -3.2870 6.3775
S 1.9511 8.2026 9.6793
S 1.9511 6.0009 0.3408
S 1.9511 5.1298 4.4545
S 1.9511 4.7514 8.3073
S 1.9511 0.7895 1.1287
S 1.9511 -0.7895 7.1249
S 1.9511 -4.7514 2.3110
S 1.9511 -5.1298 10.4508
S 1.9511 -6.0009 6.3371
S 1.9511 -8.2026 3.6831
CELL_PARAMETERS angstrom
1.9511 -8.2369 0.0000
1.9511 8.2369 0.0000
0.0000 0.0000 11.9924

# 3
! Ac2TbNi | Alexandria | PBE | optimized geometry; values from VASP
! * total magnetic moment: 0.001 μB per cell
! * energy of formation: 0.0017 eV/atom
&SYSTEM
  ibrav = 0, nat = 4, ntyp = 3
/
ATOMIC_SPECIES
Ac 227.00 Ac.upf
Tb 158.93 Tb.upf
Ni 58.69 Ni.upf
ATOMIC_POSITIONS angstrom
Ac 0.0000 0.0000 1.7735
Ac 0.0000 0.0000 7.2461
Tb 1.8797 1.8797 4.5098
Ni 1.8797 1.8797 0.0000
CELL_PARAMETERS angstrom
3.7594 0.0000 0.0000
0.0000 3.7594 0.0000
0.0000 0.0000 9.0196

# 4
! AlTeP | Alexandria | PBE | optimized geometry; values from VASP
! * total magnetic moment: 0.000 μB per cell
! * ΔE_f (raw): 332 meV per atom
&SYSTEM
  ibrav = 0, nat = 3, ntyp = 3
/
ATOMIC_SPECIES
Al 26.98 Al.upf
Te 127.60 Te.upf
P 30.97 P.upf
ATOMIC_POSITIONS angstrom
Al 0.0000 0.0000 0.0000
Te 1.6229 1.6229 1.6229
P 4.8686 4.8686 4.8686
CELL_PARAMETERS angstrom
0.0000 3.2457 3.2457
3.2457 0.0000 3.2457
3.2457 3.2457 0.0000

> Among the records above, which one has the lowest total magnetic moment?

AlTeP